Record 1
First-principles (PBEsol) data for a relaxed structure of Ta2AsRh, as listed in Alexandria via LeMat-Bulk.

a = 3.426 Å, b = 4.276 Å, c = 5.074 Å
α = 114.92°, β = 109.73°, γ = 90.00°
Sites, in units of the cell vectors:
Ta 0.752 0.752 0.503
Ta 0.248 0.248 0.497
Rh 0.000 0.500 0.000
As 0.500 0.000 0.000

Output
spin magnetization = 0.00 μB/f.u.
formation enthalpy at 0 K = -0.2803 eV/atom
theoretical density = 14.3 Mg/m³
volume = 15.6 A^3/atom



Record 2
First-principles (PBEsol) data for a relaxed structure of TaAs3Rh, as listed in Alexandria via LeMat-Bulk.

a = 4.851 Å, b = 4.851 Å, c = 4.851 Å
α = 90.00°, β = 90.00°, γ = 90.00°
Sites, in units of the cell vectors:
As 0.000 0.000 0.500
As 0.500 0.000 0.000
As 0.000 0.500 0.000
Ta 0.000 0.000 0.000
Rh 0.500 0.500 0.500

Output
spin magnetization = 0.25 μB/f.u.
formation enthalpy at 0 K = 0.8733 eV/atom
theoretical density = 7.4 Mg/m³
volume = 22.8 A^3/atom



Record 3
First-principles (PBEsol) data for a relaxed structure of TcAsRh2, as listed in Alexandria via LeMat-Bulk.

a = 4.280 Å, b = 4.280 Å, c = 4.280 Å
α = 60.00°, β = 60.00°, γ = 60.00°
Sites, in units of the cell vectors:
Rh 0.750 0.750 0.750
Rh 0.000 0.000 0.000
As 0.500 0.500 0.500
Tc 0.250 0.250 0.250

Output
spin magnetization = 0.00 μB/f.u.
formation enthalpy at 0 K = 0.0117 eV/atom
theoretical density = 11.3 Mg/m³
volume = 13.9 A^3/atom



Record 4
First-principles (PBEsol) data for a relaxed structure of TcAs2Rh, as listed in Alexandria via LeMat-Bulk.

a = 2.964 Å, b = 4.228 Å, c = 5.105 Å
α = 101.77°, β = 90.00°, γ = 110.52°
Sites, in units of the cell vectors:
Rh 0.500 0.000 0.000
As 0.253 0.507 0.261
As 0.747 0.493 0.739
Tc 0.000 0.000 0.500

Output
spin magnetization = 0.00 μB/f.u.
excess energy over the best structure of this formula in the dataset = 5.8 kJ/mol of atoms
formation enthalpy at 0 K = -0.1161 eV/atom
theoretical density = 10.0 Mg/m³
volume = 14.6 A^3/atom



Record 5
First-principles (PBEsol) data for a relaxed structure of Tc2AsRh, as listed in Alexandria via LeMat-Bulk.

a = 2.952 Å, b = 4.341 Å, c = 5.049 Å
α = 115.46°, β = 107.00°, γ = 90.00°
Sites, in units of the cell vectors:
Tc 0.004 0.004 0.008
Tc 0.771 0.271 0.543
Rh 0.223 0.723 0.446
As 0.502 0.502 0.004

Output
spin magnetization = 0.00 μB/f.u.
formation enthalpy at 0 K = -0.0912 eV/atom
theoretical density = 11.2 Mg/m³
volume = 13.8 A^3/atom



Record 6
First-principles (PBEsol) data for a relaxed structure of Tc2AsRh, as listed in Alexandria via LeMat-Bulk.

a = 2.908 Å, b = 2.908 Å, c = 6.530 Å
α = 90.00°, β = 90.00°, γ = 90.00°
Sites, in units of the cell vectors:
Rh 0.500 0.500 0.500
Tc 0.000 0.000 0.772
Tc 0.000 0.000 0.228
As 0.500 0.500 0.000

Output
spin magnetization = 0.00 μB/f.u.
formation enthalpy at 0 K = -0.0191 eV/atom
theoretical density = 11.2 Mg/m³
volume = 13.8 A^3/atom



no.,uncorrected energy (eV/cell)
1,-39.47
2,-31.64
3,-32.60
4,-30.08
5,-36.14
6,-35.85